A plane-wave DFT calculation with GGA-PBE was carried out for a relaxed La3PaRh4 crystal.

The volume comes out at 193.4 Å³/f.u. The total energy is -119.07 eV/cell.

It has space group P2/c (No. 13), with a = 5.928 Å, b = 9.249 Å, c = 7.875 Å, α = 90.00°, β = 116.37° and γ = 90.00°. The asymmetric unit holds La at (0.000, 0.116, 0.250), La at (0.500, 0.136, 0.750), La at (0.500, 0.378, 0.250), Pa at (0.000, 0.381, 0.750), Rh at (0.153, 0.384, 0.471) and Rh at (0.176, 0.152, 0.960).